(1)
The following is a PBE-GGA calculation of a relaxed ScZnPbS3 crystal, from the Open Quantum Materials Database.

extended XYZ file:
```
12
Lattice="-6.3572 1.9454 -3.3881 4.1732 -4.8574 3.8299 -3.3935 3.8462 8.5757" Properties=species:S:1:pos:R:3 pbc="T T T"
Pb -4.7916 1.3475 0.4104
Pb -0.7859 -0.4133 8.6070
S 2.7268 -3.8604 3.2508
S -1.4346 -0.8212 2.7115
S 1.2867 -2.2283 6.8899
S -6.8643 3.1624 2.1275
S -4.1429 1.7553 6.3060
S -8.3043 4.7946 5.7666
Sc -1.0920 -1.4560 0.2209
Sc -2.7888 0.4671 4.5087
Zn 2.6960 -3.4896 5.5428
Zn -8.2735 4.4238 3.4746
```

Summary:
Space-group type = Cmcm, No. 63
Total DFT energy (no corrections) = -4.91 eV/atom

(2)
The following is a PBE-GGA calculation of a relaxed La2DyCd3Ir2Pt crystal, from the Open Quantum Materials Database.

extended XYZ file:
```
9
Lattice="-3.9032 0.0548 1.1649 1.7051 -4.4771 5.9234 0.3092 7.5816 0.6795" Properties=species:S:1:pos:R:3 pbc="T T T"
Cd -1.4397 0.8164 2.2605
Cd -0.0213 1.2414 6.9928
Cd -0.3673 4.2303 5.6930
Dy 1.1911 1.8358 3.9045
Ir -0.7169 -0.3931 4.7389
Ir -1.1734 3.5502 3.0241
La 0.7077 -1.8415 2.4577
La 0.1316 3.1351 0.2936
Pt 2.0017 3.0852 6.5618
```

Summary:
Space-group type = Amm2, No. 38
Total DFT energy (no corrections) = -5.21 eV/atom

(3)
The following is a PBE-GGA calculation of a relaxed LaPrGe crystal, from the Open Quantum Materials Database.

extended XYZ file:
```
3
Lattice="3.8663 -3.2328 -0.1683 -0.4704 -4.3663 -2.4783 2.4926 -0.7267 -4.3228" Properties=species:S:1:pos:R:3 pbc="T T T"
Ge 2.9443 -4.1629 -3.4847
La 0.0000 0.0000 0.0000
Pr 4.4164 -6.2443 -5.2271
```

Summary:
Space-group type = F-43m, No. 216
Total DFT energy (no corrections) = -4.64 eV/atom

(4)
The following is a PBE-GGA calculation of a relaxed Nd2W crystal, from the Open Quantum Materials Database.

extended XYZ file:
```
6
Lattice="4.2618 2.4606 6.9595 -4.2618 2.4606 6.9595 0.0000 -4.9211 6.9595" Properties=species:S:1:pos:R:3 pbc="T T T"
Nd 0.0000 0.0000 7.8295
Nd 2.1309 1.2303 11.3092
Nd -2.1309 1.2303 11.3092
Nd 0.0000 -2.4606 11.3092
W 0.0000 0.0000 5.2197
W 0.0000 0.0000 10.4393
```

Summary:
Space-group type = Fd-3m, No. 227
E above lowest polymorph = 0.480 eV per atom

(5)
The following is a PBE-GGA calculation of a relaxed GaHPd3 crystal, from the Open Quantum Materials Database.

extended XYZ file:
```
10
Lattice="-2.2662 4.3493 2.6854 -4.8195 -2.7968 0.4626 1.2338 -1.5411 3.5372" Properties=species:S:1:pos:R:3 pbc="T T T"
Ga -0.5162 1.4041 3.1113
Ga -1.7928 -2.1689 1.9999
H 0.0000 0.0000 0.0000
H -3.5428 0.7763 1.5740
Pd -2.5945 2.4949 1.9919
Pd -1.8831 0.0754 0.6897
Pd -5.2025 1.4771 2.4582
Pd -4.4912 -0.9423 1.1560
Pd 0.6169 -0.7705 1.7686
Pd -2.9259 0.0057 3.3426
```

Summary:
Space-group type = P4/mbm, No. 127
E above lowest polymorph = 0.000 eV per atom

(6)
The following is a PBE-GGA calculation of a relaxed NdSmAlNi2 crystal, from the Open Quantum Materials Database.

extended XYZ file:
```
5
Lattice="-3.1483 -2.5640 3.7003 -4.3264 3.3703 0.3191 2.3741 -2.8463 -4.0547" Properties=species:S:1:pos:R:3 pbc="T T T"
Al -0.0010 0.0001 0.0005
Nd -1.9089 -2.5410 0.6412
Ni -3.9180 -0.8657 1.9261
Ni -1.1808 -1.1745 -1.9624
Sm -3.1924 0.5011 -0.6760
```

Summary:
Space-group type = Imm2, No. 44
Total DFT energy (no corrections) = -5.33 eV/atom

(7)
The following is a PBE-GGA calculation of a relaxed AcPbW crystal, from the Open Quantum Materials Database.

extended XYZ file:
```
3
Lattice="-3.4169 3.5130 0.9755 -0.9224 3.5876 -3.3534 -4.3296 0.0351 -2.4942" Properties=species:S:1:pos:R:3 pbc="T T T"
Ac -6.5017 5.3518 -3.6541
Pb -2.1672 1.7839 -1.2180
W 0.0000 0.0000 0.0000
```

Summary:
Space-group type = F-43m, No. 216
E above lowest polymorph = 0.000 eV per atom

(8)
The following is a PBE-GGA calculation of a relaxed ZnAu2F8 crystal, from the Open Quantum Materials Database.

extended XYZ file:
```
22
Lattice="-2.7155 0.8069 4.5811 -1.5630 -4.9591 -0.0530 9.8593 -3.1314 2.2414" Properties=species:S:1:pos:R:3 pbc="T T T"
Au 0.8664 -1.3069 1.0028
Au -0.0203 -3.7926 4.6527
Au 5.6012 -3.4910 2.1169
Au 4.7144 -5.9767 5.7668
F -2.6534 -0.8887 3.8377
F -0.8935 -0.6544 1.6503
F -0.4378 -3.0228 2.8932
F 0.9416 -4.0873 0.7175
F -0.1148 -1.0734 4.9373
F 1.6390 -0.9500 2.7743
F 1.7996 -4.2545 4.0071
F 3.1206 -5.4128 1.8048
F 2.4602 -1.8707 4.9647
F 3.7812 -3.0290 2.7624
F 3.9418 -6.3336 3.9953
F 5.6956 -6.2102 1.8323
F 4.6392 -3.1962 6.0520
F 6.0186 -4.2608 3.8763
F 6.4743 -6.6291 5.1192
F 8.2342 -6.3949 2.9318
Zn -2.1392 -2.0761 2.2640
Zn 3.5719 -1.1622 3.4113
```

Summary:
Space-group type = P2_1/c, No. 14
Total DFT energy (no corrections) = -3.40 eV/atom

(9)
The following is a PBE-GGA calculation of a relaxed LiAu crystal, from the Open Quantum Materials Database.

extended XYZ file:
```
2
Lattice="0.0000 2.6133 2.6133 2.6133 0.0000 2.6133 2.6133 2.6133 0.0000" Properties=species:S:1:pos:R:3 pbc="T T T"
Au 0.0000 0.0000 0.0000
Li 2.6133 2.6133 2.6133
```

Summary:
Space-group type = Fm-3m, No. 225
Total DFT energy (no corrections) = -2.88 eV/atom

(10)
The following is a PBE-GGA calculation of a relaxed MgAgBr4 crystal, from the Open Quantum Materials Database.

extended XYZ file:
```
6
Lattice="6.6484 0.0000 0.0000 0.0000 3.9877 0.0000 -0.2511 0.0000 6.6497" Properties=species:S:1:pos:R:3 pbc="T T T"
Ag 0.0000 1.9939 0.0000
Br 2.2091 1.9939 1.4945
Br 5.3917 0.0000 1.5689
Br 1.0056 0.0000 5.0807
Br 4.1882 1.9939 5.1552
Mg 3.3242 0.0000 0.0000
```

Summary:
Space-group type = P2/m, No. 10
Total DFT energy (no corrections) = -2.66 eV/atom

(11)
The following is a PBE-GGA calculation of a relaxed SrReAs crystal, from the Open Quantum Materials Database.

extended XYZ file:
```
3
Lattice="-1.5344 2.2902 3.7002 -4.1324 2.0500 -0.1055 -3.4882 -1.7106 2.4893" Properties=species:S:1:pos:R:3 pbc="T T T"
As 0.0000 0.0000 0.0000
Re -2.2887 0.6574 1.5210
Sr -6.8662 1.9722 4.5630
```

Summary:
Space-group type = F-43m, No. 216
E above lowest polymorph = 0.000 eV per atom

(12)
The following is a PBE-GGA calculation of a relaxed Sb4PtS7 crystal, from the Open Quantum Materials Database.

extended XYZ file:
```
12
Lattice="-1.9979 -1.0721 -7.8296 -3.3917 -4.8177 -5.6329 -4.6746 6.4068 7.9581" Properties=species:S:1:pos:R:3 pbc="T T T"
Pt 0.0000 0.0000 0.0000
S -2.6948 -2.9449 -6.7312
S -1.9021 -0.0914 -1.3628
S -6.3615 -3.5666 -10.1180
S -5.3670 -1.0989 -5.2792
S -4.6972 1.6159 -0.2252
S -3.7026 4.0837 4.6136
S -8.1621 0.6084 -4.1416
Sb -3.1009 -1.4146 -4.3796
Sb -5.9277 -2.3341 -7.7411
Sb -4.1364 2.8511 2.2367
Sb -6.9633 1.9316 -1.1248
```

Summary:
Space-group type = C2/m, No. 12
Total DFT energy (no corrections) = -4.34 eV/atom

(13)
The following is a PBE-GGA calculation of a relaxed Y2OsPb crystal, from the Open Quantum Materials Database.

extended XYZ file:
```
4
Lattice="0.0000 3.5342 3.5342 3.5342 0.0000 3.5342 3.5342 3.5342 0.0000" Properties=species:S:1:pos:R:3 pbc="T T T"
Os 1.7671 1.7671 1.7671
Pb 3.5342 3.5342 3.5342
Y 0.0000 0.0000 0.0000
Y 5.3013 5.3013 5.3013
```

Summary:
Space-group type = F-43m, No. 216
Total DFT energy (no corrections) = -6.94 eV/atom

(14)
The following is a PBE-GGA calculation of a relaxed SmErSc2Bi2 crystal, from the Open Quantum Materials Database.

extended XYZ file:
```
6
Lattice="-2.2147 2.2147 8.3098 2.2147 -2.2147 8.3098 2.2147 2.2147 -8.3098" Properties=species:S:1:pos:R:3 pbc="T T T"
Bi 0.0000 0.0000 2.1671
Bi 0.0000 0.0000 14.4516
Er 0.0000 0.0000 11.2221
Sc 0.0000 2.2147 0.0123
Sc 2.2147 0.0000 0.0123
Sm 0.0000 0.0000 5.3737
```

Summary:
Space-group type = I4mm, No. 107
Total DFT energy (no corrections) = -5.61 eV/atom

(15)
The following is a PBE-GGA calculation of a relaxed Zn3B crystal, from the Open Quantum Materials Database.

extended XYZ file:
```
8
Lattice="-0.5872 4.3823 2.2970 -1.9318 -0.7134 -4.5371 -4.1297 -1.6074 2.0111" Properties=species:S:1:pos:R:3 pbc="T T T"
B 0.0000 0.0000 0.0000
B -3.5485 0.1814 -1.2536
Zn -0.9707 -0.3442 -2.2684
Zn -1.2616 1.8266 -1.1305
Zn -2.2185 1.4733 -3.3780
Zn -2.8740 2.7372 2.1742
Zn -2.5777 0.5257 1.0149
Zn -3.8489 2.3772 -0.1155
```

Summary:
Space-group type = P6_3/mmc, No. 194
E above lowest polymorph = 0.160 eV per atom

(16)
The following is a PBE-GGA calculation of a relaxed Y3Zn2Cd3Ag crystal, from the Open Quantum Materials Database.

extended XYZ file:
```
9
Lattice="7.6287 0.0000 0.0000 -3.8144 6.6067 0.0000 0.0000 0.0000 4.0275" Properties=species:S:1:pos:R:3 pbc="T T T"
Ag 0.0000 0.0000 0.0000
Cd 5.6113 0.0000 2.0137
Cd 1.0087 1.7472 2.0137
Cd -2.8057 4.8595 2.0137
Y 3.1161 0.0000 0.0000
Y -1.5580 2.6986 0.0000
Y 2.2563 3.9081 0.0000
Zn 3.8144 2.2022 2.0137
Zn 0.0000 4.4045 2.0137
```

Summary:
Space-group type = P-62m, No. 189
Total DFT energy (no corrections) = -3.42 eV/atom

(17)
The following is a PBE-GGA calculation of a relaxed Zn2OF2 crystal, from the Open Quantum Materials Database.

extended XYZ file:
```
10
Lattice="0.2660 0.0000 -3.4057 -4.6481 -3.5667 -0.3044 -4.6481 3.5667 -0.3044" Properties=species:S:1:pos:R:3 pbc="T T T"
F -3.2616 -2.1954 -3.4016
F -5.7686 -2.1954 -0.6129
F -3.2616 2.1954 -3.4016
F -5.7686 2.1954 -0.6129
O -3.2004 0.0000 -1.7772
O -5.8298 0.0000 -2.2372
Zn -2.2480 0.0000 -3.4046
Zn -4.5151 -1.4868 -2.0072
Zn -4.5151 1.4868 -2.0072
Zn -6.7822 0.0000 -0.6099
```

Summary:
Space-group type = C2/m, No. 12
E above lowest polymorph = 0.081 eV per atom